Record 1
Material: Sm2HoZn6
Method: DFT, PBE
State: relaxed Values from VASP.

Summary:
Uncorrected energy (eV/atom): -2.7729
Calculated volume (Å³/atom): 20.87
Crystal system: hexagonal
Space group: P6/mmm, No. 191
Energy relative to the elements (kJ/mol of atoms): -35
Mass density (g/cm³): 7.59

Quantum ESPRESSO input file:
```
&SYSTEM
  ibrav = 0, nat = 9, ntyp = 3
/
ATOMIC_SPECIES
Sm 150.36 Sm.upf
Zn 65.41 Zn.upf
Ho 164.93 Ho.upf
CELL_PARAMETERS angstrom
3.544 0.000 0.000
0.000 6.775 -3.911
0.000 0.000 7.823
ATOMIC_POSITIONS angstrom
Sm 3.544 4.517 0.000
Sm 0.000 2.258 3.911
Zn 1.772 4.534 5.205
Zn 1.772 0.000 2.587
Zn 1.772 2.241 -1.294
Zn 1.772 4.534 2.618
Zn 1.772 0.000 5.236
Zn 1.772 2.241 1.294
Ho 0.000 0.000 7.823
```

***

Record 2
Material: ReTe2
Method: DFT, PBE
State: relaxed Values from VASP.

Summary:
Uncorrected energy (eV/atom): -6.3405
Calculated volume (Å³/atom): 27.24
Crystal system: triclinic
Space group: P-1, No. 2
Raw formation energy (eV/atom): -0.10
Mass density (g/cm³): 8.97

Quantum ESPRESSO input file:
```
&SYSTEM
  ibrav = 0, nat = 12, ntyp = 2
/
ATOMIC_SPECIES
Te 127.60 Te.upf
Re 186.21 Re.upf
CELL_PARAMETERS angstrom
7.084 -0.009 -0.007
-3.485 6.329 -0.033
-1.876 -1.349 7.306
ATOMIC_POSITIONS angstrom
Te -1.852 5.023 2.312
Te -1.739 3.191 5.443
Te -0.140 -0.283 5.162
Te 0.045 2.138 1.551
Te 3.463 1.781 1.823
Te 3.576 -0.052 4.954
Te 1.863 5.254 2.104
Te 1.678 2.833 5.715
Re 1.477 1.210 3.608
Re -1.535 1.379 3.563
Re 3.258 3.593 3.703
Re 0.247 3.761 3.658
```

***

Record 3
Material: LiSi2Sb2
Method: DFT, PBE
State: relaxed Values from VASP.

Summary:
Uncorrected energy (eV/atom): -3.9852
Calculated volume (Å³/atom): 21.22
Crystal system: tetragonal
Space group: P4/mbm, No. 127
Raw formation energy (eV/atom): 0.22
Mass density (g/cm³): 4.80

Quantum ESPRESSO input file:
```
&SYSTEM
  ibrav = 0, nat = 10, ntyp = 3
/
ATOMIC_SPECIES
Si 28.09 Si.upf
Li 6.94 Li.upf
Sb 121.76 Sb.upf
CELL_PARAMETERS angstrom
-3.543 6.195 -1.866
-5.769 -2.063 4.107
1.548 1.815 3.086
ATOMIC_POSITIONS angstrom
Si -2.618 -0.043 1.339
Si -6.426 0.540 2.906
Si -6.694 4.175 0.903
Si -2.886 3.592 -0.664
Li -4.656 2.066 1.121
Li 0.000 0.000 0.000
Sb -3.787 0.620 4.000
Sb -3.977 5.327 1.327
Sb -1.398 2.518 1.685
Sb -6.366 3.429 3.642
```

***

Record 4
Material: Pm7Si2C2
Method: DFT, PBE
State: relaxed Values from VASP.

Summary:
Uncorrected energy (eV/atom): -5.8115
Calculated volume (Å³/atom): 24.17
Crystal system: orthorhombic
Space group: Imm2, No. 44
Raw formation energy (eV/atom): -0.13
Mass density (g/cm³): 6.84

Quantum ESPRESSO input file:
```
&SYSTEM
  ibrav = 0, nat = 11, ntyp = 3
/
ATOMIC_SPECIES
C 12.01 C.upf
Pm 145.00 Pm.upf
Si 28.09 Si.upf
CELL_PARAMETERS angstrom
3.645 0.000 0.000
1.823 8.807 -0.595
1.823 3.652 8.036
ATOMIC_POSITIONS angstrom
C 1.823 3.531 0.919
C 5.468 9.976 4.768
Pm 3.645 9.593 6.774
Pm 3.645 8.341 3.770
Pm 3.645 1.946 2.206
Pm 5.468 6.699 7.120
Pm 3.645 5.185 1.885
Pm 3.645 3.769 7.840
Pm 1.823 3.014 4.919
Si 1.823 7.671 1.307
Si 3.645 5.468 4.995
```

***

Record 5
Material: Li2HoZnGe2
Method: DFT, PBE
State: relaxed Values from VASP.

Summary:
Uncorrected energy (eV/atom): -3.6276
Calculated volume (Å³/atom): 18.90
Crystal system: orthorhombic
Space group: Pmc2_1, No. 26
Energy relative to the elements (kJ/mol of atoms): -46
Mass density (g/cm³): 5.70

Quantum ESPRESSO input file:
```
&SYSTEM
  ibrav = 0, nat = 12, ntyp = 4
/
ATOMIC_SPECIES
Ho 164.93 Ho.upf
Ge 72.64 Ge.upf
Li 6.94 Li.upf
Zn 65.41 Zn.upf
CELL_PARAMETERS angstrom
-0.569 -2.178 3.523
6.796 0.718 1.541
-1.555 6.561 3.805
ATOMIC_POSITIONS angstrom
Ho 6.063 3.577 3.190
Ho 2.468 4.049 2.902
Ge 1.028 1.531 3.593
Ge 0.246 5.820 3.638
Ge 4.769 1.434 1.657
Ge 4.018 3.609 5.361
Li -0.172 -0.606 2.078
Li 4.543 6.048 4.472
Li 2.165 1.385 1.206
Li 1.888 5.395 6.121
Zn 3.672 1.388 3.932
Zn -0.329 3.572 4.636
```

***

Record 6
Material: KCaTiO2
Method: DFT, PBE
State: relaxed Values from VASP.

Summary:
Uncorrected energy (eV/atom): -3.5727
Calculated volume (Å³/atom): 21.20
Crystal system: tetragonal
Space group: P4/mmm, No. 123
Raw formation energy (eV/atom): 0.61
Mass density (g/cm³): 2.49

Quantum ESPRESSO input file:
```
&SYSTEM
  ibrav = 0, nat = 5, ntyp = 4
/
ATOMIC_SPECIES
K 39.10 K.upf
O 16.00 O.upf
Ca 40.08 Ca.upf
Ti 47.87 Ti.upf
CELL_PARAMETERS angstrom
4.726 0.000 0.000
0.000 4.747 0.000
0.000 0.000 4.726
ATOMIC_POSITIONS angstrom
K 0.000 0.000 0.000
O 2.363 0.000 0.000
O 0.000 0.000 2.363
Ca 0.000 2.373 0.000
Ti 2.363 2.373 2.363
```

***

Look up the mass density of the fifth one.
5.70 g/cm³

***

Look up the calculated volume of the second one.
27.24 Å³/atom

***

What is the uncorrected energy in the fifth record?
-3.6276 eV/atom

***

What did the fifth record say?
Material: Li2HoZnGe2
Method: DFT, PBE
State: relaxed Values from VASP.

Summary:
Uncorrected energy (eV/atom): -3.6276
Calculated volume (Å³/atom): 18.90
Crystal system: orthorhombic
Space group: Pmc2_1, No. 26
Energy relative to the elements (kJ/mol of atoms): -46
Mass density (g/cm³): 5.70

Quantum ESPRESSO input file:
```
&SYSTEM
  ibrav = 0, nat = 12, ntyp = 4
/
ATOMIC_SPECIES
Ho 164.93 Ho.upf
Ge 72.64 Ge.upf
Li 6.94 Li.upf
Zn 65.41 Zn.upf
CELL_PARAMETERS angstrom
-0.569 -2.178 3.523
6.796 0.718 1.541
-1.555 6.561 3.805
ATOMIC_POSITIONS angstrom
Ho 6.063 3.577 3.190
Ho 2.468 4.049 2.902
Ge 1.028 1.531 3.593
Ge 0.246 5.820 3.638
Ge 4.769 1.434 1.657
Ge 4.018 3.609 5.361
Li -0.172 -0.606 2.078
Li 4.543 6.048 4.472
Li 2.165 1.385 1.206
Li 1.888 5.395 6.121
Zn 3.672 1.388 3.932
Zn -0.329 3.572 4.636
```